(1)
{"formula": "Rb2Sb2Au3", "functional": "PBE", "state": "relaxed", "e_tot_ev_per_atom": -3.272, "polymorph_energy_kj_per_mol_fu": 0.0, "e_form_raw_ev_per_atom": -0.413, "rho_g_cm3": 7.1, "lattice_angstrom": [[4.597, 0.000, 0.000], [0.002, 7.139, 0.000], [2.292, 1.131, 7.189]], "species": ["Rb", "Rb", "Sb", "Sb", "Au", "Au", "Au"], "frac_coords": [[0.114, 0.331, 0.272], [0.886, 0.669, 0.728], [0.374, 0.234, 0.751], [0.626, 0.766, 0.249], [0.210, 0.908, 0.080], [0.500, 0.000, 0.500], [0.790, 0.092, 0.920]]}

---

(2)
{"formula": "RbSr2Pb2", "functional": "PBE", "state": "relaxed", "e_tot_ev_per_atom": -2.687, "formation_enthalpy_0k_ev_per_atom": -0.338, "polymorph_energy_kj_per_mol_fu": 14.7, "rho_g_cm3": 5.5, "lattice_angstrom": [[9.641, 0.000, 0.000], [0.000, 9.641, 0.000], [0.000, 0.000, 4.412]], "species": ["Rb", "Rb", "Sr", "Sr", "Sr", "Sr", "Pb", "Pb", "Pb", "Pb"], "frac_coords": [[0.000, 0.000, 0.000], [0.500, 0.500, 0.000], [0.165, 0.335, 0.500], [0.335, 0.835, 0.500], [0.665, 0.165, 0.500], [0.835, 0.665, 0.500], [0.122, 0.622, 0.000], [0.378, 0.122, 0.000], [0.622, 0.878, 0.000], [0.878, 0.378, 0.000]]}

---

(3)
{"formula": "Nb2PS4", "functional": "PBE", "state": "relaxed", "e_tot_ev_per_atom": -5.815, "e_form_raw_ev_per_atom": 0.193, "rho_g_cm3": 4.5, "lattice_angstrom": [[-2.240, 2.240, 6.384], [2.240, -2.240, 6.384], [2.240, 2.240, -6.384]], "species": ["Nb", "Nb", "P", "S", "S", "S", "S"], "frac_coords": [[0.124, 0.124, 0.000], [0.876, 0.876, 0.000], [0.500, 0.500, 0.000], [0.000, 0.500, 0.500], [0.317, 0.317, 0.000], [0.500, 0.000, 0.500], [0.683, 0.683, 0.000]]}

---

(4)
{"formula": "Co2NiW", "functional": "PBE", "state": "relaxed", "e_tot_ev_per_atom": -8.030, "formation_enthalpy_0k_ev_per_atom": 0.206, "polymorph_energy_kj_per_mol_fu": 96.1, "rho_g_cm3": 11.9, "lattice_angstrom": [[1.314, 0.758, 8.380], [-1.314, 0.758, 8.380], [0.000, -1.517, 8.380]], "species": ["Co", "Co", "Ni", "W"], "frac_coords": [[0.000, 0.000, 0.000], [0.256, 0.256, 0.256], [0.509, 0.509, 0.509], [0.755, 0.755, 0.755]]}

---

(5)
{"formula": "ScAgOs2S", "functional": "PBE", "state": "relaxed", "e_tot_ev_per_atom": -6.752, "e_form_raw_ev_per_atom": 0.402, "rho_g_cm3": 10.5, "lattice_angstrom": [[4.355, 0.000, 0.000], [0.000, 4.355, 0.000], [0.000, 0.000, 4.697]], "species": ["Sc", "Ag", "Os", "Os", "S"], "frac_coords": [[0.000, 0.000, 0.000], [0.500, 0.500, 0.000], [0.000, 0.500, 0.500], [0.500, 0.000, 0.500], [0.000, 0.000, 0.500]]}

---

(6)
{"formula": "MgZrI", "functional": "PBE", "state": "relaxed", "e_tot_ev_per_atom": -4.082, "polymorph_energy_kj_per_mol_fu": 34.0, "e_form_raw_ev_per_atom": -0.185, "rho_g_cm3": 4.8, "lattice_angstrom": [[3.120, -1.803, 0.000], [3.120, 1.803, 0.000], [-2.052, 0.000, 7.496]], "species": ["Mg", "Zr", "I"], "frac_coords": [[0.000, 0.000, 0.000], [0.432, 0.432, 0.304], [0.856, 0.856, 0.577]]}

---

(7)
{"formula": "Hg5As2Cl", "functional": "PBE", "state": "relaxed", "e_tot_ev_per_atom": -1.596, "e_form_raw_ev_per_atom": -0.015, "rho_g_cm3": 7.6, "lattice_angstrom": [[5.390, 0.000, 0.000], [-0.020, 6.951, 0.000], [-0.017, -0.366, 6.949]], "species": ["Hg", "Hg", "Hg", "Hg", "Hg", "As", "As", "Cl"], "frac_coords": [[0.000, 0.000, 0.000], [0.000, 0.477, 0.528], [0.351, 0.989, 0.513], [0.352, 0.489, 0.016], [0.711, 0.740, 0.266], [0.192, 0.239, 0.264], [0.201, 0.739, 0.764], [0.691, 0.239, 0.765]]}

---

(8)
{"formula": "SnRhIO2", "functional": "PBE", "state": "relaxed", "e_tot_ev_per_atom": -4.730, "polymorph_energy_kj_per_mol_fu": 0.0, "e_form_raw_ev_per_atom": -0.166, "rho_g_cm3": 6.2, "lattice_angstrom": [[3.947, 0.000, 0.000], [0.000, 3.947, 0.000], [0.000, 0.000, 6.573]], "species": ["Sn", "Rh", "I", "O", "O"], "frac_coords": [[0.000, 0.000, 0.000], [0.500, 0.500, 0.500], [0.000, 0.000, 0.500], [0.000, 0.500, 0.000], [0.500, 0.000, 0.000]]}